The following is a PBE-GGA calculation of a relaxed NaPd3Pt crystal, from Alexandria via LeMat-Bulk.

Geometry as extended XYZ:
```
5
Lattice="4.518 0.000 0.000 0.000 4.518 0.000 0.000 0.000 4.518" Properties=species:S:1:pos:R:3 pbc="T T T"
Na 0.000 0.000 0.000
Pd 0.000 0.000 2.259
Pd 0.000 2.259 0.000
Pd 2.259 0.000 0.000
Pt 2.259 2.259 2.259
```

## Properties
For the total magnetization, the calculation gives 0.000 μB per atom. As for the volume: 18.44 Å³ per atom. For the energy above the most stable polymorph in this dataset, the calculation gives 539.8 meV/atom. The value obtained for the formation energy from the elements is 112.1 kJ/mol of atoms. Its space-group type is Pm-3m, No. 221.